The following is a DFT calculation (PBEsol) of a relaxed structure of CrIn2Cu.

Computed properties:
The calculation puts the formation energy from the elements at 0.2909 eV per atom. Its crystal system is tetragonal.

The structure in CIF format:
```
data_CrIn2Cu
_symmetry_space_group_name_H-M 'I -4 m 2'
_symmetry_Int_Tables_number 119
_symmetry_space_group_name_Hall 'I -4 -2'
_cell_length_a 3.9903
_cell_length_b 3.9903
_cell_length_c 8.6139
_cell_angle_alpha 90.00
_cell_angle_beta 90.00
_cell_angle_gamma 90.00
loop_
_atom_site_label
_atom_site_fract_x
_atom_site_fract_y
_atom_site_fract_z
Cr1 0.0000 0.0000 0.0000
In1 0.0000 0.0000 0.5000
In2 0.0000 0.5000 0.7500
Cu1 0.0000 0.5000 0.2500
```